1.
CsGa2Br: optimized geometry, PBE.

The structure belongs to space group I-42d (No. 122); the cell edges are 4.992, 4.992 and 23.695 Å and the angles 90.00°, 90.00° and 90.00°. The inequivalent atoms are Cs at (0.000, 0.000, 0.000), Ga at (0.101, 0.250, 0.625) and Br at (0.000, 0.000, 0.500).

Its total energy is -40.825 eV/cell. As for the density of states at the Fermi level: 0.369 states/eV per atom. The formation energy from raw total energies comes out at -0.41 eV per atom. The polymorph energy (0 for the lowest one) is 0 meV/atom. For the density, the calculation gives 4.0 g/cm³.


2.
Cs2GaGeBr6: optimized geometry, PBE.

The structure belongs to space group I4/mmm (No. 139); the cell edges are 7.869, 7.869 and 11.073 Å and the angles 90.00°, 90.00° and 90.00°. The inequivalent atoms are Cs at (0.000, 0.500, 0.250), Ga at (0.000, 0.000, 0.000), Ge at (0.000, 0.000, 0.500), Br at (0.000, 0.000, 0.249) and Br at (0.249, 0.249, 0.000).

Its total energy is -60.910 eV/cell. As for the density of states at the Fermi level: 0.359 states/eV per atom. The formation energy from raw total energies comes out at -1.11 eV per atom. For the density, the calculation gives 4.3 g/cm³.


3.
CsGa2GeBr8: optimized geometry, PBE.

The structure belongs to space group R-3 (No. 148, hexagonal axes); the cell edges are 7.0736, 7.0736 and 30.8682 Å and the angles 90.00°, 90.00° and 120.00°. The inequivalent atoms are Cs at (0.0000, 0.0000, 0.0000), Ga at (0.0000, 0.0000, 0.2473), Ge at (0.0000, 0.0000, 0.5000), Br at (0.0000, 0.0000, 0.3253) and Br at (0.0017, 0.3434, 0.1115).

Its total energy is -104.730 eV/cell. As for the density of states at the Fermi level: 0.540 states/eV per atom. The formation energy from raw total energies comes out at -0.83 eV per atom. For the density, the calculation gives 3.7 g/cm³.


4.
Cs2GaHBr6: optimized geometry, PBE.

The structure belongs to space group I4/mmm (No. 139); the cell edges are 7.251, 7.251 and 11.798 Å and the angles 90.00°, 90.00° and 90.00°. The inequivalent atoms are Cs at (0.000, 0.500, 0.250), Ga at (0.000, 0.000, 0.000), H at (0.000, 0.000, 0.500), Br at (0.000, 0.000, 0.211) and Br at (0.238, 0.238, 0.500).

Its total energy is -52.914 eV/cell. As for the density of states at the Fermi level: 0.060 states/eV per atom. For the density, the calculation gives 4.4 g/cm³.


5.
CsGa2HBr: optimized geometry, PBE.

The structure belongs to space group P4/mmm (No. 123); the cell edges are 6.741, 6.741 and 4.943 Å and the angles 90.00°, 90.00° and 90.00°. The inequivalent atoms are Cs at (0.000, 0.000, 0.000), Ga at (0.000, 0.500, 0.000), H at (0.000, 0.000, 0.500) and Br at (0.500, 0.500, 0.500).

Its total energy is -8.629 eV/cell. As for the density of states at the Fermi level: 0.851 states/eV per atom. For the density, the calculation gives 2.6 g/cm³.


6.
Cs2HfGaBr6: optimized geometry, PBE.

The structure belongs to space group R-3m (No. 166, hexagonal axes); the cell edges are 8.1570, 8.1570 and 41.0750 Å and the angles 90.00°, 90.00° and 120.00°. The inequivalent atoms are Cs at (0.0000, 0.0000, 0.1261), Cs at (0.0000, 0.0000, 0.2958), Hf at (0.0000, 0.0000, 0.0000), Hf at (0.0000, 0.0000, 0.5000), Ga at (0.0000, 0.0000, 0.4275), Br at (0.0061, 0.5031, 0.8662) and Br at (0.0278, 0.5139, 0.7037).

Its total energy is -228.515 eV/cell. As for the density of states at the Fermi level: 0.364 states/eV per atom. The formation energy from raw total energies comes out at -1.34 eV per atom. The polymorph energy (0 for the lowest one) is 0 meV/atom. For the density, the calculation gives 4.2 g/cm³.


7.
CsHfGaBr6: optimized geometry, PBE.

The structure belongs to space group P-31c (No. 163); the cell edges are 7.6780, 7.6780 and 15.3104 Å and the angles 90.00°, 90.00° and 120.00°. The inequivalent atoms are Cs at (0.0000, 0.0000, 0.0000), Hf at (0.3333, 0.6667, 0.2500), Ga at (0.3333, 0.6667, 0.7500) and Br at (0.0469, 0.3952, 0.1505).

Its total energy is -71.905 eV/cell. As for the density of states at the Fermi level: 0.000 states/eV per atom. The formation energy from raw total energies comes out at -1.34 eV per atom. For the density, the calculation gives 3.7 g/cm³.


8.
Cs2HfGaBr6: optimized geometry, PBE.

The structure belongs to space group Fm-3m (No. 225); the cell edges are 11.473, 11.473 and 11.473 Å and the angles 90.00°, 90.00° and 90.00°. The inequivalent atoms are Cs at (0.250, 0.250, 0.250), Hf at (0.000, 0.000, 0.000), Ga at (0.000, 0.000, 0.500) and Br at (0.000, 0.000, 0.233).

Its total energy is -151.729 eV/cell. As for the density of states at the Fermi level: 0.593 states/eV per atom. The formation energy from raw total energies comes out at -1.32 eV per atom. The polymorph energy (0 for the lowest one) is 15 meV/atom. For the density, the calculation gives 4.4 g/cm³.


Computed total magnetization (μB per formula unit) in order:
0.00, 0.00, 0.00, 0.00, 0.35, 0.22, 0.00, 1.00